(1)
The following is a DFT calculation (PBE) of an optimized crystal structure of Mo4Ir3Rh2.

Values from the calculation:
Energy relative to the elements, eV/atom: -0.22
Energy, eV per cell: -86.62

abc: 4.807 4.807 8.269
angles: 107.03 107.03 47.98
Element x y z (fractional)
Mo 0.009 0.009 0.336
Mo 0.331 0.331 0.107
Mo 0.669 0.669 0.893
Mo 0.991 0.991 0.664
Ir 0.000 0.000 0.000
Ir 0.335 0.335 0.442
Ir 0.665 0.665 0.558
Rh 0.334 0.334 0.780
Rh 0.666 0.666 0.220



(2)
The following is a DFT calculation (PBE) of an optimized crystal structure of Rb2ZrCuS4.

Values from the calculation:
Energy, eV per cell: -76.90
Formation energy (no corrections), meV per atom: -920

abc: 7.790 7.790 7.616
angles: 104.41 104.41 93.37
Element x y z (fractional)
Rb 0.000 0.000 0.000
Rb 0.000 0.000 0.500
Rb 0.000 0.500 0.000
Rb 0.500 0.000 0.500
Zr 0.500 0.500 0.000
Zr 0.500 0.500 0.500
Cu 0.000 0.500 0.500
Cu 0.500 0.000 0.000
S 0.215 0.666 0.453
S 0.299 0.347 0.661
S 0.334 0.785 0.047
S 0.347 0.299 0.161
S 0.653 0.701 0.839
S 0.666 0.215 0.953
S 0.701 0.653 0.339
S 0.785 0.334 0.547



(3)
The following is a DFT calculation (PBE) of an optimized crystal structure of MnAgRhAu.

Values from the calculation:
Energy relative to the elements, eV/atom: 0.07
Energy, eV per cell: -22.36

abc: 4.505 4.505 4.505
angles: 60.00 60.00 60.00
Element x y z (fractional)
Mn 0.000 0.000 0.000
Ag 0.500 0.500 0.500
Rh 0.250 0.250 0.250
Au 0.750 0.750 0.750



(4)
The following is a DFT calculation (PBE) of an optimized crystal structure of K2MgNbO4.

Values from the calculation:
Energy, eV per cell: -50.79
Formation energy (no corrections), meV per atom: -2137

abc: 5.723 5.723 5.723
angles: 116.44 116.44 96.29
Element x y z (fractional)
K 0.000 0.000 0.000
K 0.750 0.250 0.500
Mg 0.500 0.500 0.000
Nb 0.250 0.750 0.500
O 0.219 0.116 0.629
O 0.410 0.781 0.897
O 0.487 0.590 0.371
O 0.884 0.513 0.103



(5)
The following is a DFT calculation (PBE) of an optimized crystal structure of La5Ce2Ru4.

Values from the calculation:
Energy relative to the elements, eV/atom: -0.19
Energy, eV per cell: -75.68

abc: 10.996 10.996 7.537
angles: 107.90 107.90 20.98
Element x y z (fractional)
La 0.000 0.000 0.000
La 0.324 0.324 0.614
La 0.328 0.328 0.081
La 0.672 0.672 0.919
La 0.676 0.676 0.386
Ce 0.070 0.070 0.553
Ce 0.930 0.930 0.447
Ru 0.199 0.199 0.684
Ru 0.481 0.481 0.283
Ru 0.519 0.519 0.717
Ru 0.801 0.801 0.316



(6)
The following is a DFT calculation (PBE) of an optimized crystal structure of La2Pr3Sm6Sc.

Values from the calculation:
Energy relative to the elements, eV/atom: 0.03
Energy, eV per cell: -58.49

abc: 6.301 6.301 12.086
angles: 95.02 95.02 119.98
Element x y z (fractional)
La 0.166 0.834 0.000
La 0.834 0.166 0.000
Pr 0.000 0.000 0.500
Pr 0.333 0.667 0.500
Pr 0.667 0.333 0.500
Sm 0.089 0.418 0.752
Sm 0.252 0.252 0.248
Sm 0.418 0.089 0.752
Sm 0.582 0.911 0.248
Sm 0.748 0.748 0.752
Sm 0.911 0.582 0.248
Sc 0.500 0.500 0.000



(7)
The following is a DFT calculation (PBE) of an optimized crystal structure of Cs2CaSnF6.

Values from the calculation:
Energy, eV per cell: -48.62
Formation energy (no corrections), meV per atom: -2968

abc: 4.694 4.694 9.407
angles: 90.00 90.00 90.00
Element x y z (fractional)
Cs 0.000 0.000 0.243
Cs 0.000 0.000 0.757
Ca 0.500 0.500 0.000
Sn 0.500 0.500 0.500
F 0.000 0.500 0.000
F 0.000 0.500 0.500
F 0.500 0.000 0.000
F 0.500 0.000 0.500
F 0.500 0.500 0.240
F 0.500 0.500 0.760



(8)
The following is a DFT calculation (PBE) of an optimized crystal structure of LiU2S2N2.

Values from the calculation:
Energy, eV per cell: -59.02
Formation energy (no corrections), meV per atom: -1374

abc: 5.651 5.651 6.620
angles: 118.72 118.72 38.10
Element x y z (fractional)
Li 0.000 0.000 0.000
U 0.187 0.187 0.738
U 0.813 0.813 0.262
S 0.431 0.431 0.660
S 0.569 0.569 0.340
N 0.208 0.208 0.093
N 0.792 0.792 0.907